[1]
Below is MgGe2RuF after structural relaxation, with properties calculated at the PBE level.

Properties
Fermi-level density of states	3.45	states/eV per cell
formation energy from raw total energies	0.170	eV per atom
VASP energy	-4.23	eV/atom

a b c (Å): 4.6020 4.6020 4.1397
angles (deg): 90.00 90.00 90.00
Closest atoms and distances in Å follow each position.
Fractional positions:
1 Mg 0.0000 0.0000 0.0000  8 Ge 3.09, 4 Ru 3.25
2 Ge 0.0000 0.5000 0.5000  2 F 2.30
3 Ge 0.5000 0.0000 0.5000  2 F 2.30
4 Ru 0.5000 0.5000 0.0000  2 F 2.07
5 F 0.5000 0.5000 0.5000  2 Ru 2.07, 4 Ge 2.30

=====

[2]
Below is Mg2GeSbF after structural relaxation, with properties calculated at the PBE level.

Properties
Fermi-level density of states	2.76	states/eV per cell
formation energy from raw total energies	-0.476	eV per atom
VASP energy	-3.24	eV/atom

a b c (Å): 5.2989 5.2989 4.0570
angles (deg): 90.00 90.00 90.00
Closest atoms and distances in Å follow each position.
Fractional positions:
1 Mg 0.0000 0.5000 0.0000  2 Ge 2.65
2 Mg 0.5000 0.0000 0.0000  2 Ge 2.65
3 Ge 0.0000 0.0000 0.0000  2 F 2.03
4 Sb 0.5000 0.5000 0.5000  8 Mg 3.34
5 F 0.0000 0.0000 0.5000  2 Ge 2.03

=====

[3]
Below is MgTc2GeF after structural relaxation, with properties calculated at the PBE level.

Properties
Fermi-level density of states	4.51	states/eV per cell
formation energy from raw total energies	0.885	eV per atom
VASP energy	-4.88	eV/atom

a b c (Å): 4.7228 4.7228 5.0803
angles (deg): 90.00 90.00 90.00
Closest atoms and distances in Å follow each position.
Fractional positions:
1 Mg 0.0000 0.0000 0.0000  2 Ge 2.54
2 Tc 0.0000 0.5000 0.5000  2 Ge 2.36
3 Tc 0.5000 0.0000 0.5000  2 Ge 2.36
4 Ge 0.0000 0.0000 0.5000  4 Tc 2.36, 2 Mg 2.54
5 F 0.5000 0.5000 0.0000  4 Mg 3.34, 8 Tc 3.47

=====

[4]
Below is MgTc2GeF after structural relaxation, with properties calculated at the PBE level.

Properties
Fermi-level density of states	5.31	states/eV per cell
formation energy from raw total energies	0.499	eV per atom
VASP energy	-5.26	eV/atom

a b c (Å): 4.1364 4.1364 4.6813
angles (deg): 90.00 90.00 90.00
Closest atoms and distances in Å follow each position.
Fractional positions:
1 Mg 0.0000 0.0000 0.0000  4 Ge 2.92, 8 Tc 3.12
2 Tc 0.0000 0.5000 0.5000  2 F 2.07
3 Tc 0.5000 0.0000 0.5000  2 F 2.07
4 Ge 0.5000 0.5000 0.0000  2 F 2.34
5 F 0.5000 0.5000 0.5000  4 Tc 2.07